Material: VCu2WF
Method: DFT, GGA+U
State: relaxed

Cell lengths 4.2094, 4.1907, 4.2094 Å; angles 90.00, 90.00, 90.00 degrees
Each line ends with the local moment (μB).
Fractional positions:
F 0.0000 0.0000 0.0000  0.04
Cu 0.0000 0.0000 0.5000  0.06
Cu 0.5000 0.0000 0.0000  0.02
W 0.0000 0.5000 0.0000  -0.10
V 0.5000 0.5000 0.5000  2.33

Values from the calculation:
**Calculated total energy**: -4.0924 eV/atom
**Symmetry**: P4/mmm, No. 123